No. 1
Ba2Li7Tl after structural relaxation, computed with PBE-GGA.

a = 10.7155 Å, b = 10.7155 Å, c = 10.7155 Å
α = 90.00°, β = 90.00°, γ = 90.00°
Closest atoms and distances in Å follow each position.
Space group Fm-3m (No. 225)
Symmetry-distinct sites (fractional):
Ba: 0.2500 0.2500 0.2500 (multiplicity 8)  12 Li 3.79
Li: 0.0000 0.0000 0.0000 (multiplicity 4)  6 Li 2.64
Li: 0.0000 0.0000 0.2466 (multiplicity 24)  1 Li 2.64, 1 Tl 2.71
Tl: 0.0000 0.0000 0.5000 (multiplicity 4)  6 Li 2.71

Values from the calculation:
polymorph energy (0 for the lowest one) = 0.064 eV per atom
size of the total moment = 0.000 μB per atom
mass density = 2.85 g/cm³
N(E_F) = 33.92 states/eV per cell
E_form = 0.25 eV/f.u.

---

No. 2
InFe2Mo after structural relaxation, computed with PBE-GGA.

a = 2.7423 Å, b = 4.0277 Å, c = 5.5602 Å
α = 90.00°, β = 99.59°, γ = 90.00°
Closest atoms and distances in Å follow each position.
Space group Pm (No. 6)
Symmetry-distinct sites (fractional):
In: 0.0000 0.0000 0.0000 (multiplicity 1)  6 Fe 2.72-2.88, 2 In 2.74, 4 Mo 2.95-2.96
Fe: 0.0532 0.0000 0.5160 (multiplicity 1)  4 Fe 2.50-2.74, 2 Mo 2.55, 1 In 2.72
Fe: 0.4439 0.5000 0.7345 (multiplicity 1)  1 Mo 2.49, 4 Fe 2.50-2.74
Mo: 0.5996 0.5000 0.3062 (multiplicity 1)  3 Fe 2.49-2.55, 2 Mo 2.74

Values from the calculation:
size of the total moment = 1.095 μB per atom
mass density = 8.84 g/cm³
N(E_F) = 2.87 states/eV per cell
E_form = 1.16 eV/f.u.

---

No. 3
CrHIr2W after structural relaxation, computed with PBE-GGA.

a = 3.8583 Å, b = 3.8583 Å, c = 3.9262 Å
α = 90.00°, β = 90.00°, γ = 90.00°
Closest atoms and distances in Å follow each position.
Space group P4/mmm (No. 123)
Symmetry-distinct sites (fractional):
Cr: 0.0000 0.0000 0.0000 (multiplicity 1)  2 H 1.96
H: 0.0000 0.0000 0.5000 (multiplicity 1)  4 Ir 1.93, 2 Cr 1.96
Ir: 0.0000 0.5000 0.5000 (multiplicity 2)  2 H 1.93
W: 0.5000 0.5000 0.0000 (multiplicity 1)  4 Cr 2.73, 8 Ir 2.75

Values from the calculation:
polymorph energy (0 for the lowest one) = 0.000 eV per atom
size of the total moment = 0.184 μB per atom
mass density = 17.65 g/cm³
N(E_F) = 1.47 states/eV per cell

---

No. 4
LuZrCuAu after structural relaxation, computed with PBE-GGA.

a = 6.8381 Å, b = 6.8381 Å, c = 6.8381 Å
α = 90.00°, β = 90.00°, γ = 90.00°
Closest atoms and distances in Å follow each position.
Space group F-43m (No. 216)
Symmetry-distinct sites (fractional):
Lu: 0.0000 0.0000 0.0000 (multiplicity 4)  4 Cu 2.96, 4 Au 2.96
Zr: 0.0000 0.0000 0.5000 (multiplicity 4)  4 Au 2.96, 4 Cu 2.96
Cu: 0.2500 0.2500 0.7500 (multiplicity 4)  4 Zr 2.96, 4 Lu 2.96
Au: 0.2500 0.2500 0.2500 (multiplicity 4)  4 Zr 2.96, 4 Lu 2.96

Values from the calculation:
size of the total moment = 0.000 μB per atom
mass density = 10.94 g/cm³
N(E_F) = 17.66 states/eV per cell
E_form = -1.54 eV/f.u.

---

No. 5
Cs2RbPPd after structural relaxation, computed with PBE-GGA.

a = 7.3054 Å, b = 7.3054 Å, c = 5.3685 Å
α = 90.00°, β = 90.00°, γ = 90.00°
Closest atoms and distances in Å follow each position.
Space group P4/mmm (No. 123)
Symmetry-distinct sites (fractional):
Cs: 0.0000 0.5000 0.0000 (multiplicity 2)  2 Rb 3.65
Rb: 0.0000 0.0000 0.0000 (multiplicity 1)  2 Pd 2.68
P: 0.5000 0.5000 0.5000 (multiplicity 1)  8 Cs 4.53
Pd: 0.0000 0.0000 0.5000 (multiplicity 1)  2 Rb 2.68

Values from the calculation:
polymorph energy (0 for the lowest one) = 0.819 eV per atom
size of the total moment = 0.310 μB per atom
mass density = 2.83 g/cm³
N(E_F) = 5.71 states/eV per cell
E_form = 3.60 eV/f.u.

---

No. 6
Sc2NiRuPb after structural relaxation, computed with PBE-GGA.

a = 5.3577 Å, b = 5.3577 Å, c = 4.6037 Å
α = 90.00°, β = 90.00°, γ = 90.00°
Closest atoms and distances in Å follow each position.
Space group P4/mmm (No. 123)
Symmetry-distinct sites (fractional):
Sc: 0.0000 0.5000 0.0000 (multiplicity 2)  2 Pb 2.68
Ni: 0.0000 0.0000 0.5000 (multiplicity 1)  2 Pb 2.30
Ru: 0.5000 0.5000 0.5000 (multiplicity 1)  8 Sc 3.53, 4 Ni 3.79
Pb: 0.0000 0.0000 0.0000 (multiplicity 1)  2 Ni 2.30

Values from the calculation:
size of the total moment = 0.347 μB per atom
mass density = 5.74 g/cm³
N(E_F) = 4.67 states/eV per cell
E_form = 5.87 eV/f.u.

---

No. 7
Zn2Ga4Ag5 after structural relaxation, computed with PBE-GGA.

a = 4.6908 Å, b = 8.1830 Å, c = 10.5083 Å
α = 90.00°, β = 90.00°, γ = 90.00°
Closest atoms and distances in Å follow each position.
Space group Immm (No. 71)
Symmetry-distinct sites (fractional):
Zn: 0.0000 0.0000 0.1309 (multiplicity 4)  3 Ga 2.57-2.88, 2 Ag 2.72, 1 Zn 2.75
Ga: 0.0000 0.0000 0.3757 (multiplicity 4)  1 Zn 2.57, 1 Ga 2.61
Ga: 0.0000 0.3093 0.0000 (multiplicity 4)  2 Ag 2.75, 2 Zn 2.88
Ag: 0.0000 0.3320 0.2612 (multiplicity 8)  4 Ag 2.71-2.86, 2 Ga 2.75-2.97, 2 Zn 2.95
Ag: 0.0000 0.5000 0.5000 (multiplicity 2)  4 Zn 2.72, 4 Ag 2.86

Values from the calculation:
polymorph energy (0 for the lowest one) = 0.053 eV per atom
size of the total moment = 0.000 μB per atom
mass density = 7.81 g/cm³
N(E_F) = 3.73 states/eV per cell
E_form = 0.64 eV/f.u.

---

No. 8
Al2AgCl after structural relaxation, computed with PBE-GGA.

a = 6.8969 Å, b = 6.8969 Å, c = 6.8969 Å
α = 90.00°, β = 90.00°, γ = 90.00°
Closest atoms and distances in Å follow each position.
Space group Fm-3m (No. 225)
Symmetry-distinct sites (fractional):
Al: 0.2500 0.2500 0.2500 (multiplicity 8)  4 Cl 2.99, 4 Ag 2.99
Ag: 0.0000 0.0000 0.0000 (multiplicity 4)  8 Al 2.99
Cl: 0.0000 0.0000 0.5000 (multiplicity 4)  8 Al 2.99

Values from the calculation:
polymorph energy (0 for the lowest one) = 0.398 eV per atom
size of the total moment = 0.000 μB per atom
ΔE_f (raw) = 167 meV per atom
mass density = 3.99 g/cm³
N(E_F) = 4.34 states/eV per cell